1.
## LaB2P (GGA-PBE)

Data for a relaxed LaB2P crystal.

Cell: 4.1285 4.1285 7.6459 Å, 74.34 74.34 90.00°
Sites, in units of the cell vectors:
1 P 0.5000 0.5000 0.0000
2 P 0.2500 0.7500 0.5000
3 B 0.3750 0.1250 0.2500
4 B 0.3750 0.6250 0.2500
5 B 0.3750 0.6250 0.7500
6 B 0.8750 0.6250 0.7500
7 La 0.0000 0.0000 0.0000
8 La 0.7500 0.2500 0.5000

Computed properties:
* space-group type: I4_1/amd, No. 141
* calculated total energy: -47.645 eV for the cell shown
* DOS(E_F): 0.9 states/eV/f.u.

=====

2.
## Ac4DyPu3Se8 (GGA-PBE)

Data for a relaxed Ac4DyPu3Se8 crystal.

Cell: 8.5485 8.6592 8.5482 Å, 119.58 120.00 90.00°
Site moments in Bohr magnetons follow the coordinates.
Sites, in units of the cell vectors:
1 Ac 0.5000 0.0000 0.0000  0.04
2 Ac 0.5000 0.0000 0.5000  0.02
3 Ac 0.0000 0.0000 0.0000  0.02
4 Ac 0.0000 0.0000 0.5000  0.02
5 Dy 0.0000 0.5000 0.0000  0.07
6 Pu 0.5000 0.5000 0.0000  5.47
7 Pu 0.5000 0.5000 0.5000  5.47
8 Pu 0.0000 0.5000 0.5000  5.47
9 Se 0.2404 0.7261 0.9856  -0.03
10 Se 0.2405 0.7260 0.4809  -0.03
11 Se 0.2574 0.2725 0.5149  -0.05
12 Se 0.7452 0.7261 0.9856  -0.03
13 Se 0.2548 0.2739 0.0144  -0.03
14 Se 0.7426 0.7275 0.4851  -0.05
15 Se 0.7595 0.2740 0.5191  -0.03
16 Se 0.7596 0.2739 0.0144  -0.03

Computed properties:
* space-group type: R-3m, No. 166
* calculated total energy: -119.407 eV for the cell shown
* DOS(E_F): 28.9 states/eV/f.u.

=====

3.
## Sc6Al3Hg (GGA-PBE)

Data for a relaxed Sc6Al3Hg crystal.

Cell: 4.8703 8.4917 10.6897 Å, 108.40 90.00 90.00°
Sites, in units of the cell vectors:
1 Sc 0.2500 0.4563 0.0798
2 Sc 0.7500 0.5437 0.9202
3 Sc 0.2500 0.1406 0.1710
4 Sc 0.7500 0.8594 0.8290
5 Sc 0.2500 0.6568 0.6699
6 Sc 0.7500 0.3432 0.3301
7 Sc 0.2500 0.2603 0.5010
8 Sc 0.7500 0.7397 0.4990
9 Sc 0.2500 0.8294 0.2898
10 Sc 0.7500 0.1706 0.7102
11 Sc 0.2500 0.0981 0.8808
12 Sc 0.7500 0.9019 0.1192
13 Al 0.2500 0.5280 0.3716
14 Al 0.7500 0.4720 0.6284
15 Al 0.2500 0.3887 0.7875
16 Al 0.7500 0.6113 0.2125
17 Al 0.2500 0.7729 0.9717
18 Al 0.7500 0.2271 0.0283
19 Hg 0.2500 0.9565 0.6016
20 Hg 0.7500 0.0435 0.3984

Computed properties:
* space-group type: P2_1/m, No. 11
* calculated total energy: -106.110 eV for the cell shown
* DOS(E_F): 10.6 states/eV/f.u.

=====

4.
## ZrAlC3 (GGA-PBE)

Data for a relaxed ZrAlC3 crystal.

Cell: 3.8537 3.8537 3.8537 Å, 90.00 90.00 90.00°
Sites, in units of the cell vectors:
1 C 0.0000 0.5000 0.0000
2 C 0.0000 0.0000 0.5000
3 C 0.5000 0.0000 0.0000
4 Al 0.0000 0.0000 0.0000
5 Zr 0.5000 0.5000 0.5000

Computed properties:
* polymorph energy (0 for the lowest one): 0.0 kJ per mole of atoms
* space-group type: Pm-3m, No. 221
* calculated total energy: -33.151 eV for the cell shown
* DOS(E_F): 2.9 states/eV/f.u.

=====

5.
## Er4UO10 (GGA-PBE)

Data for a relaxed Er4UO10 crystal.

Cell: 5.2194 6.5723 6.5723 Å, 80.93 66.60 66.60°
Site moments in Bohr magnetons follow the coordinates.
Sites, in units of the cell vectors:
1 Er 0.4010 0.7989 0.3991  0.00
2 Er 0.8001 0.6009 0.7989  0.00
3 Er 0.1999 0.3991 0.2011  0.00
4 Er 0.5990 0.2011 0.6009  0.00
5 U 0.0000 0.0000 0.0000  -0.06
6 O 0.2500 0.5000 0.5000  0.28
7 O 0.6612 0.2879 0.9067  0.08
8 O 0.0509 0.0933 0.2879  0.08
9 O 0.4321 0.9067 0.7121  0.08
10 O 0.8558 0.7121 0.0933  0.08
11 O 0.3388 0.7121 0.0933  0.08
12 O 0.7500 0.5000 0.5000  0.28
13 O 0.1442 0.2879 0.9067  0.08
14 O 0.5679 0.0933 0.2879  0.08
15 O 0.9491 0.9067 0.7121  0.08

Computed properties:
* space-group type: I4/m, No. 87
* calculated total energy: -127.095 eV for the cell shown
* DOS(E_F): 11.3 states/eV/f.u.

=====

6.
## SrAcTl (GGA-PBE)

Data for a relaxed SrAcTl crystal.

Cell: 5.6519 5.6519 10.0101 Å, 73.60 73.60 60.00°
Sites, in units of the cell vectors:
1 Tl 0.2512 0.2512 0.2465
2 Tl 0.7488 0.7488 0.7535
3 Sr 0.1263 0.1263 0.6211
4 Sr 0.8737 0.8737 0.3789
5 Ac 0.3745 0.3745 0.8766
6 Ac 0.6255 0.6255 0.1234

Computed properties:
* polymorph energy (0 for the lowest one): 13.8 kJ per mole of atoms
* space-group type: R-3m, No. 166
* calculated total energy: -17.200 eV for the cell shown
* DOS(E_F): 3.9 states/eV/f.u.